1.
Sr2BeTl | SCAN | PBEsol geometry

Properties
total DFT energy (no corrections): -121.4 eV for the cell shown
ΔE_f: -0.15 eV/f.u.
ρ: 5.51 Mg/m³
volume: 117 Å³/cell

Cell: 5.493 5.493 5.493 Å, 60.00 60.00 60.00°
Positions (direct):
Sr1 0.250 0.250 0.250
Sr2 0.750 0.750 0.750
Be1 0.000 0.000 0.000
Tl1 0.500 0.500 0.500


2.
SrBeTl | SCAN | PBEsol geometry

Properties
total DFT energy (no corrections): -99.4 eV for the cell shown
ΔE_f: -0.37 eV/f.u.
ρ: 6.67 Mg/m³
volume: 75 Å³/cell

Cell: 4.507 4.507 4.256 Å, 90.00 90.00 120.00°
Positions (direct):
Sr1 0.000 0.000 0.000
Be1 0.667 0.333 0.500
Tl1 0.333 0.667 0.500


3.
Sr2BeTl | SCAN | PBEsol geometry

Properties
total DFT energy (no corrections): -120.5 eV for the cell shown
ΔE_f: 0.75 eV/f.u.
ρ: 5.71 Mg/m³
volume: 113 Å³/cell

Cell: 5.947 5.947 5.947 Å, 132.25 132.25 69.84°
Positions (direct):
Sr1 0.000 0.000 0.000
Sr2 0.750 0.250 0.500
Be1 0.250 0.750 0.500
Tl1 0.500 0.500 0.000


4.
SrBeTl2 | SCAN | PBEsol geometry

Properties
total DFT energy (no corrections): -170.9 eV for the cell shown
ΔE_f: 0.46 eV/f.u.
ρ: 8.34 Mg/m³
volume: 101 Å³/cell

Cell: 3.665 3.665 7.492 Å, 90.00 90.00 90.13°
Positions (direct):
Sr1 0.000 0.000 0.000
Be1 0.500 0.500 0.300
Tl1 0.000 0.000 0.431
Tl2 0.500 0.500 0.693


5.
Sr4BeTl | SCAN | PBEsol geometry

Properties
total DFT energy (no corrections): -161.3 eV for the cell shown
ΔE_f: 4.56 eV/f.u.
ρ: 3.95 Mg/m³
volume: 237 Å³/cell

Cell: 6.946 6.946 6.946 Å, 60.00 60.00 60.00°
Positions (direct):
Sr1 0.125 0.125 0.125
Sr2 0.125 0.125 0.625
Sr3 0.125 0.625 0.125
Sr4 0.625 0.125 0.125
Be1 0.500 0.500 0.500
Tl1 0.750 0.750 0.750


6.
SrBeTl2 | SCAN | PBEsol geometry

Properties
total DFT energy (no corrections): -171.2 eV for the cell shown
ΔE_f: 0.12 eV/f.u.
ρ: 7.90 Mg/m³
volume: 106 Å³/cell

Cell: 4.445 6.198 6.198 Å, 38.48 90.00 90.00°
Positions (direct):
Sr1 0.000 0.000 0.000
Be1 0.500 0.637 0.637
Tl1 0.000 0.719 0.719
Tl2 0.500 0.321 0.321


7.
Sr2BeTl | SCAN | PBEsol geometry

Properties
total DFT energy (no corrections): -121.4 eV for the cell shown
ΔE_f: -0.13 eV/f.u.
ρ: 5.60 Mg/m³
volume: 115 Å³/cell

Cell: 3.811 3.811 7.937 Å, 90.00 90.00 90.00°
Positions (direct):
Sr1 0.000 0.000 0.228
Sr2 0.000 0.000 0.772
Be1 0.500 0.500 0.000
Tl1 0.500 0.500 0.500


8.
SrBe2Tl | SCAN | PBEsol geometry

Properties
total DFT energy (no corrections): -102.9 eV for the cell shown
ΔE_f: 0.42 eV/f.u.
ρ: 6.16 Mg/m³
volume: 84 Å³/cell

Cell: 6.003 6.003 6.003 Å, 40.86 40.86 40.86°
Positions (direct):
Sr1 0.000 0.000 0.000
Be1 0.193 0.193 0.193
Be2 0.807 0.807 0.807
Tl1 0.500 0.500 0.500